1.
Entry from Alexandria via LeMat-Bulk: Sm2Dy3P4 after structural relaxation (PBE-GGA).

## Properties
Energy relative to the elements ... -1.420 eV per atom
Symmetry ... C2/m (12)

abc: 6.9307 6.9307 9.8230
angles: 117.70 117.70 33.63
Fractional positions:
Sm 0.1014 0.1014 0.3951
Sm 0.8986 0.8986 0.6049
Dy 0.2958 0.2958 0.1905
Dy 0.5000 0.5000 0.0000
Dy 0.7042 0.7042 0.8095
P 0.1011 0.1011 0.9005
P 0.2985 0.2985 0.7006
P 0.7015 0.7015 0.2994
P 0.8989 0.8989 0.0995

=====

2.
Entry from Alexandria via LeMat-Bulk: AcHoSe2S after structural relaxation (PBE-GGA).

## Properties
Symmetry ... P4/nmm (129)
Formation energy (no corrections) ... -1.7911 eV/atom

abc: 4.3280 4.3280 14.8978
angles: 90.00 90.00 90.00
Fractional positions:
Ac 0.2500 0.2500 0.1293
Ac 0.7500 0.7500 0.8707
Ho 0.2500 0.2500 0.6026
Ho 0.7500 0.7500 0.3974
Se 0.2500 0.2500 0.4069
Se 0.2500 0.2500 0.7831
Se 0.7500 0.7500 0.2169
Se 0.7500 0.7500 0.5931
S 0.2500 0.7500 0.0000
S 0.7500 0.2500 0.0000

=====

3.
Entry from Alexandria via LeMat-Bulk: KRbCd2Cu after structural relaxation (PBE-GGA).

## Properties
Energy relative to the elements ... 0.102 eV per atom
Polymorph energy (0 for the lowest one) ... 0 meV per atom
Symmetry ... P4/mmm (123)

abc: 5.3227 5.3227 6.0270
angles: 90.00 90.00 90.00
Fractional positions:
K 0.0000 0.0000 0.0000
Rb 0.5000 0.5000 0.0000
Cd 0.0000 0.5000 0.5000
Cd 0.5000 0.0000 0.5000
Cu 0.0000 0.0000 0.5000

=====

4.
Entry from Alexandria via LeMat-Bulk: Ba2NaGa2 after structural relaxation (PBE-GGA).

## Properties
Energy relative to the elements ... -0.048 eV per atom
Polymorph energy (0 for the lowest one) ... 252 meV per atom
Symmetry ... I4/mmm (139)

abc: 12.2677 12.2677 12.2677
angles: 161.32 161.32 26.54
Fractional positions:
Ba 0.1281 0.1281 0.0000
Ba 0.8719 0.8719 0.0000
Na 0.5000 0.5000 0.0000
Ga 0.2500 0.7500 0.5000
Ga 0.7500 0.2500 0.5000

=====

5.
Entry from Alexandria via LeMat-Bulk: SnSbRhAu2 after structural relaxation (PBE-GGA).

## Properties
Symmetry ... P4/mmm (123)
Formation energy (no corrections) ... 1.0886 eV/atom

abc: 5.0537 5.0537 5.6700
angles: 90.00 90.00 90.00
Fractional positions:
Sn 0.0000 0.0000 0.0000
Sb 0.0000 0.0000 0.5000
Rh 0.5000 0.5000 0.5000
Au 0.0000 0.5000 0.0000
Au 0.5000 0.0000 0.0000

=====

6.
Entry from Alexandria via LeMat-Bulk: TcHOF2 after structural relaxation (PBE-GGA).

## Properties
Polymorph energy (0 for the lowest one) ... 0 meV per atom
Symmetry ... P4/mmm (123)

abc: 4.0808 4.0808 3.7311
angles: 90.00 90.00 90.00
Fractional positions:
Tc 0.0000 0.0000 0.0000
H 0.5000 0.5000 0.5000
O 0.0000 0.0000 0.5000
F 0.0000 0.5000 0.0000
F 0.5000 0.0000 0.0000

=====

no.,total energy (eV per atom)
1,-6.4073
2,-5.7477
3,-1.4964
4,-2.2920
5,-3.3177
6,-5.3865